[1]
The following is a GGA-PBE calculation of Ta2SiAg after structural relaxation, from OQMD via LeMat-Bulk.

Unit cell a=4.5785 b=4.5785 c=4.5785 alpha=60.00 beta=60.00 gamma=60.00
Last column: nearest neighbours and their distance in Å.
Positions (direct):
Ag 0.2500 0.2500 0.2500  4 Si 2.80, 4 Ta 2.80
Ta 0.0000 0.0000 0.0000  4 Ta 2.80, 4 Ag 2.80
Ta 0.7500 0.7500 0.7500  4 Ta 2.80, 4 Si 2.80
Si 0.5000 0.5000 0.5000  4 Ag 2.80, 4 Ta 2.80

* DFT total energy: -30.1 eV per cell



[2]
The following is a GGA-PBE calculation of K2Na2ZnAs2 after structural relaxation, from OQMD via LeMat-Bulk.

Unit cell a=9.6720 b=9.6720 c=9.6720 alpha=31.87 beta=31.87 gamma=31.87
Last column: nearest neighbours and their distance in Å.
Positions (direct):
As 0.0839 0.0839 0.0839  1 Zn 2.31
As 0.9161 0.9161 0.9161  1 Zn 2.31
K 0.2070 0.2070 0.2070  4 As 3.28-3.39, 3 Na 3.63
K 0.7930 0.7930 0.7930  4 As 3.28-3.39, 3 Na 3.63
Zn 0.0000 0.0000 0.0000  2 As 2.31
Na 0.3891 0.3891 0.3891  3 As 3.16, 3 Zn 3.43
Na 0.6109 0.6109 0.6109  3 As 3.16, 3 Zn 3.43

* DFT total energy: -18.4 eV per cell
* energy relative to the lowest polymorph listed for this composition: 0 meV per atom



[3]
The following is a GGA-PBE calculation of Li8Nd4O11 after structural relaxation, from OQMD via LeMat-Bulk.

Unit cell a=12.3779 b=6.1369 c=4.9464 alpha=97.29 beta=96.40 gamma=128.17
Last column: nearest neighbours and their distance in Å.
Positions (direct):
Nd 0.5623 0.7740 0.9519  5 O 2.30-2.40
Nd 0.0867 0.8812 0.9728  6 O 2.32-2.45
Nd 0.9189 0.1856 0.0053  6 O 2.36-2.43
Nd 0.4248 0.1225 0.9946  5 O 2.27-2.40
Li 0.9394 0.8940 0.4108  4 O 1.92-2.13
Li 0.2732 0.3579 0.5671  3 O 1.95-1.98
Li 0.6963 0.6085 0.4954  3 O 1.92-1.96
Li 0.5532 0.0896 0.5485  4 O 1.91-2.08
Li 0.2332 0.5012 0.0585  4 O 1.95-2.09
Li 0.1947 0.6088 0.5004  4 O 1.91-2.02
Li 0.8030 0.3726 0.4797  4 O 1.98-2.14
Li 0.7622 0.4845 0.9957  5 O 2.08-2.28
O 0.7201 0.1106 0.7337  3 Li 1.99-2.20
O 0.2498 0.8332 0.2283  2 Li 1.92-1.98
O 0.3104 0.3171 0.9425  2 Li 1.95
O 0.8784 0.7693 0.7397  4 Li 1.92-2.14
O 0.9391 0.5758 0.2450  3 Li 1.99-2.08
O 0.6207 0.2028 0.2228  3 Li 1.91-2.12
O 0.7551 0.8249 0.2144  2 Li 1.93-2.13
O 0.1005 0.5204 0.7989  2 Li 1.91-2.04
O 0.3940 0.7750 0.6804  3 Li 1.95-2.02
O 0.5399 0.3995 0.6673  2 Li 1.92-2.03
O 0.1027 0.2191 0.2888  4 Li 1.96-2.09

* DFT total energy: -140.2 eV per cell
* energy relative to the lowest polymorph listed for this composition: 43 meV per atom



[4]
The following is a GGA-PBE calculation of KGaNiS3 after structural relaxation, from OQMD via LeMat-Bulk.

Unit cell a=6.9068 b=6.9068 c=10.3801 alpha=90.00 beta=90.00 gamma=148.76
Last column: nearest neighbours and their distance in Å.
Positions (direct):
Ni 0.5667 0.4333 0.2500  4 S 2.17-2.22
Ni 0.4333 0.5667 0.7500  4 S 2.17-2.22
Ga 0.0000 0.0000 0.0000  6 S 2.49-2.61
Ga 0.0000 0.0000 0.5000  6 S 2.49-2.61
S 0.6187 0.3813 0.0473  1 Ni 2.22
S 0.3813 0.6187 0.9527  1 Ni 2.22
S 0.0176 0.9824 0.7500  2 Ni 2.17
S 0.3813 0.6187 0.5473  1 Ni 2.22
S 0.9824 0.0176 0.2500  2 Ni 2.17
S 0.6187 0.3813 0.4527  1 Ni 2.22
K 0.7257 0.2743 0.7500  2 Ni 3.33, 8 S 3.34-3.49, 2 K 3.72
K 0.2743 0.7257 0.2500  2 Ni 3.33, 8 S 3.34-3.49, 2 K 3.72

* DFT total energy: -51.2 eV per cell



[5]
The following is a GGA-PBE calculation of Ba2CdOsS6 after structural relaxation, from OQMD via LeMat-Bulk.

Unit cell a=7.1248 b=7.1248 c=7.1248 alpha=123.36 beta=123.36 gamma=84.27
Last column: nearest neighbours and their distance in Å.
Positions (direct):
S 0.8305 0.3055 0.1360  1 Os 2.36, 1 Cd 2.59
S 0.3055 0.1695 0.4749  1 Os 2.36, 1 Cd 2.59
S 0.2284 0.2284 0.0000  1 Os 2.41
S 0.7716 0.7716 0.0000  1 Os 2.41
S 0.1695 0.6945 0.8640  1 Os 2.36, 1 Cd 2.59
S 0.6945 0.8305 0.5251  1 Os 2.36, 1 Cd 2.59
Cd 0.5000 0.5000 0.0000  6 S 2.59-2.87
Ba 0.7500 0.2500 0.5000  8 S 3.17-3.39
Ba 0.2500 0.7500 0.5000  8 S 3.17-3.39
Os 0.0000 0.0000 0.0000  6 S 2.36-2.41

* DFT total energy: -48.7 eV per cell
* energy relative to the lowest polymorph listed for this composition: 2 meV per atom



[6]
The following is a GGA-PBE calculation of BaAgSn2Pd after structural relaxation, from OQMD via LeMat-Bulk.

Unit cell a=4.8243 b=4.8243 c=11.1095 alpha=90.00 beta=90.00 gamma=90.00
Last column: nearest neighbours and their distance in Å.
Positions (direct):
Sn 0.5000 0.0000 0.1369  1 Pd 2.70, 4 Ag 2.85
Sn 0.0000 0.0000 0.5000  4 Pd 2.76
Sn 0.5000 0.5000 0.5000  4 Pd 2.76
Sn 0.0000 0.5000 0.8631  1 Pd 2.70, 4 Ag 2.85
Ag 0.5000 0.5000 0.0000  4 Sn 2.85
Ag 0.0000 0.0000 0.0000  4 Sn 2.85
Ba 0.5000 0.0000 0.7518  8 Sn 3.63-3.69, 4 Ag 3.66, 4 Pd 3.71
Ba 0.0000 0.5000 0.2482  8 Sn 3.63-3.69, 4 Ag 3.66, 4 Pd 3.71
Pd 0.5000 0.0000 0.3801  5 Sn 2.70-2.76
Pd 0.0000 0.5000 0.6199  5 Sn 2.70-2.76

* DFT total energy: -41.6 eV per cell



[7]
The following is a GGA-PBE calculation of Cs3Rb3Zn2O5 after structural relaxation, from OQMD via LeMat-Bulk.

Unit cell a=7.0405 b=7.0405 c=6.9791 alpha=91.72 beta=91.72 gamma=118.36
Last column: nearest neighbours and their distance in Å.
Positions (direct):
Zn 0.1502 0.1502 0.1273  3 O 1.89-1.95
Zn 0.5597 0.5597 0.4796  3 O 1.90-1.94
Rb 0.7091 0.7091 0.0085  3 O 2.84-2.88
Rb 0.5789 0.1159 0.3189  5 O 2.80-3.04
Rb 0.1159 0.5789 0.3189  5 O 2.80-3.04
O 0.4019 0.4019 0.2441  2 Zn 1.94-1.95
O 0.5212 0.7917 0.5821  1 Zn 1.90
O 0.7917 0.5212 0.5821  1 Zn 1.90
O 0.8986 0.1722 0.0642  1 Zn 1.89
O 0.1722 0.8986 0.0642  1 Zn 1.89
Cs 0.1487 0.5620 0.8252  4 O 2.79-3.05
Cs 0.5620 0.1487 0.8252  4 O 2.79-3.05
Cs 0.9934 0.9934 0.6139  2 O 2.93, 1 Zn 3.21

* DFT total energy: -48.3 eV per cell
* energy relative to the lowest polymorph listed for this composition: 3 meV per atom



[8]
The following is a GGA-PBE calculation of Ta4ZnSN2 after structural relaxation, from OQMD via LeMat-Bulk.

Unit cell a=3.0410 b=3.0410 c=13.4352 alpha=90.00 beta=90.00 gamma=120.00
Last column: nearest neighbours and their distance in Å.
Positions (direct):
Ta 0.3333 0.6667 0.8356  3 N 2.20
Ta 0.6667 0.3333 0.3642  3 N 2.22
Ta 0.6667 0.3333 0.6358  3 N 2.22
Ta 0.3333 0.6667 0.1644  3 N 2.20
Zn 0.6667 0.3333 0.0000  6 Ta 2.82, 6 Zn 3.04
S 0.3333 0.6667 0.5000  6 Ta 2.53
N 0.0000 0.0000 0.7370  6 Ta 2.20-2.22
N 0.0000 0.0000 0.2630  6 Ta 2.20-2.22

* DFT total energy: -74.1 eV per cell



[9]
The following is a GGA-PBE calculation of SrNdGa4Pt2 after structural relaxation, from OQMD via LeMat-Bulk.

Unit cell a=6.9108 b=5.7641 c=5.7641 alpha=45.21 beta=90.00 gamma=90.00
Last column: nearest neighbours and their distance in Å.
Positions (direct):
Ga 0.8043 0.3615 0.3615  3 Pt 2.67-2.69, 1 Ga 2.70
Ga 0.1957 0.3615 0.3615  3 Pt 2.67-2.69, 1 Ga 2.70
Ga 0.3092 0.6387 0.6387  1 Ga 2.64, 3 Pt 2.68-2.70
Ga 0.6908 0.6387 0.6387  1 Ga 2.64, 3 Pt 2.68-2.70
Sr 0.0000 0.0792 0.0792  3 Pt 3.04-3.18, 6 Ga 3.14-3.29
Nd 0.5000 0.9199 0.9199  3 Pt 3.05-3.17, 6 Ga 3.12-3.27
Pt 0.5000 0.2069 0.2069  6 Ga 2.67-2.68
Pt 0.0000 0.7938 0.7938  6 Ga 2.69-2.70

* DFT total energy: -37.0 eV per cell



[10]
The following is a GGA-PBE calculation of BWN3 after structural relaxation, from OQMD via LeMat-Bulk.

Unit cell a=4.9724 b=8.1294 c=9.0005 alpha=90.00 beta=90.00 gamma=90.00
Last column: nearest neighbours and their distance in Å.
Positions (direct):
W 0.7814 0.4258 0.9719  3 N 1.91-2.13
W 0.7650 0.8585 0.0154  3 N 1.80-2.01
W 0.7186 0.9258 0.4719  3 N 1.91-2.13
W 0.2650 0.6415 0.0154  3 N 1.80-2.01
W 0.2186 0.5742 0.4719  3 N 1.91-2.13
W 0.7350 0.3585 0.5154  3 N 1.80-2.01
W 0.2814 0.0742 0.9719  3 N 1.91-2.13
W 0.2350 0.1415 0.5154  3 N 1.80-2.01
N 0.6159 0.0150 0.1302  1 B 1.53
N 0.3663 0.3501 0.6199  1 B 1.57
N 0.7420 0.7957 0.6478  2 B 1.54-1.55
N 0.6337 0.6499 0.1199  1 B 1.57
N 0.9593 0.6499 0.8774  1 B 1.53
N 0.0407 0.3501 0.3774  1 B 1.53
N 0.4593 0.8501 0.8774  1 B 1.53
N 0.8841 0.5150 0.6302  1 B 1.53
N 0.0784 0.2837 0.8600  2 B 1.59-1.61
N 0.5413 0.5039 0.3706  1 B 1.52
N 0.7580 0.2957 0.1478  2 B 1.54-1.55
N 0.9587 0.0039 0.8706  1 B 1.52
N 0.3841 0.9850 0.6302  1 B 1.53
N 0.8663 0.1499 0.6199  1 B 1.57
N 0.4216 0.7837 0.3600  2 B 1.59-1.61
N 0.2420 0.7043 0.6478  2 B 1.54-1.55
N 0.5784 0.2163 0.8600  2 B 1.59-1.61
N 0.9216 0.7163 0.3600  2 B 1.59-1.61
N 0.5407 0.1499 0.3774  1 B 1.53
N 0.2580 0.2043 0.1478  2 B 1.54-1.55
N 0.4587 0.4961 0.8706  1 B 1.52
N 0.1337 0.8501 0.1199  1 B 1.57
N 0.1159 0.4850 0.1302  1 B 1.53
N 0.0413 0.9961 0.3706  1 B 1.52
B 0.9561 0.6752 0.7092  4 N 1.53-1.55
B 0.4561 0.8248 0.7092  4 N 1.53-1.55
B 0.0439 0.3249 0.2092  4 N 1.53-1.55
B 0.6419 0.6584 0.2937  4 N 1.52-1.61
B 0.5439 0.1752 0.2092  4 N 1.53-1.55
B 0.8581 0.1584 0.7937  4 N 1.52-1.61
B 0.1419 0.8416 0.2937  4 N 1.52-1.61
B 0.3581 0.3416 0.7937  4 N 1.52-1.61

* DFT total energy: -372.6 eV per cell



[11]
The following is a GGA-PBE calculation of Tm2CuSe3 after structural relaxation, from OQMD via LeMat-Bulk.

Unit cell a=10.2564 b=3.8409 c=13.1417 alpha=90.00 beta=90.00 gamma=90.00
Last column: nearest neighbours and their distance in Å.
Positions (direct):
Se 0.5949 0.2500 0.0984  1 Cu 2.42
Se 0.7344 0.2500 0.8494  2 Cu 2.51
Se 0.2656 0.7500 0.1506  2 Cu 2.51
Se 0.9051 0.7500 0.5984  1 Cu 2.42
Se 0.4534 0.2500 0.3946  1 Cu 2.50
Se 0.0949 0.2500 0.4016  1 Cu 2.42
Se 0.4051 0.7500 0.9016  1 Cu 2.42
Se 0.5466 0.7500 0.6054  1 Cu 2.50
Se 0.0466 0.7500 0.8946  1 Cu 2.50
Se 0.2344 0.2500 0.6506  2 Cu 2.51
Se 0.7656 0.7500 0.3494  2 Cu 2.51
Se 0.9534 0.2500 0.1054  1 Cu 2.50
Tm 0.4812 0.2500 0.7555  6 Se 2.83-2.88
Tm 0.2215 0.2500 0.9812  7 Se 2.86-3.20
Tm 0.0188 0.7500 0.2555  6 Se 2.83-2.88
Tm 0.7785 0.7500 0.0188  7 Se 2.86-3.20
Tm 0.5188 0.7500 0.2445  6 Se 2.83-2.88
Tm 0.2785 0.7500 0.4812  7 Se 2.86-3.20
Tm 0.7215 0.2500 0.5188  7 Se 2.86-3.20
Tm 0.9812 0.2500 0.7445  6 Se 2.83-2.88
Cu 0.7655 0.2500 0.2260  4 Se 2.42-2.51
Cu 0.2345 0.7500 0.7740  4 Se 2.42-2.51
Cu 0.2655 0.2500 0.2740  4 Se 2.42-2.51
Cu 0.7345 0.7500 0.7260  4 Se 2.42-2.51

* DFT total energy: -124.2 eV per cell



[12]
The following is a GGA-PBE calculation of SrErAuO3 after structural relaxation, from OQMD via LeMat-Bulk.

Unit cell a=6.7081 b=6.7081 c=8.5840 alpha=90.00 beta=90.00 gamma=31.30
Last column: nearest neighbours and their distance in Å.
Positions (direct):
O 0.6123 0.6123 0.4848  1 Au 2.02
O 0.9429 0.9429 0.2500  2 Er 2.27, 2 Sr 2.40
O 0.3877 0.3877 0.5152  1 Au 2.02
O 0.6123 0.6123 0.0152  1 Au 2.02
O 0.0571 0.0571 0.7500  2 Er 2.27, 2 Sr 2.40
O 0.3877 0.3877 0.9848  1 Au 2.02
Er 0.0000 0.0000 0.5000  6 O 2.27-2.32
Er 0.0000 0.0000 0.0000  6 O 2.27-2.32
Au 0.6211 0.6211 0.2500  2 O 2.02
Au 0.3789 0.3789 0.7500  2 O 2.02
Sr 0.3210 0.3210 0.2500  4 O 2.40-2.43
Sr 0.6790 0.6790 0.7500  4 O 2.40-2.43

* DFT total energy: -77.0 eV per cell